Record 1
Below is MgIn4Ag7 after structural relaxation, with properties calculated at the PBE-GGA level.

Values from the calculation:
Formation energy   0.6 eV/f.u.
Energy relative to the lowest polymorph listed for this composition   53 meV per atom
Total DFT energy (no corrections)   -32.0 eV/cell
ρ   8.0 g/cm3

```
MgIn4Ag7
1.0
5.296 -2.607 0.000
5.296 2.607 0.000
-5.282 0.000 9.271
Mg In Ag
1 4 7
direct
0.000 0.000 0.000
0.170 0.170 0.774
0.420 0.420 0.690
0.580 0.580 0.310
0.830 0.830 0.226
0.121 0.121 0.471
0.285 0.285 0.079
0.331 0.331 0.374
0.500 0.500 0.000
0.669 0.669 0.626
0.715 0.715 0.921
0.879 0.879 0.529
```



Record 2
Below is TmZn2Pt after structural relaxation, with properties calculated at the PBE-GGA level.

Values from the calculation:
Formation energy   -2.2 eV/f.u.
Total DFT energy (no corrections)   -15.3 eV/cell
ρ   11.3 g/cm3

```
TmZn2Pt
1.0
3.972 0.000 0.000
0.000 3.972 0.000
0.000 0.000 4.593
Tm Zn Pt
1 2 1
direct
0.000 0.000 0.000
0.000 0.500 0.500
0.500 0.000 0.500
0.500 0.500 0.000
```



Record 3
Below is ErAlHg2 after structural relaxation, with properties calculated at the PBE-GGA level.

Values from the calculation:
Formation energy   -0.8 eV/f.u.
Total DFT energy (no corrections)   -9.7 eV/cell
ρ   11.1 g/cm3

```
ErAlHg2
1.0
3.550 0.000 0.000
0.000 3.550 0.000
0.000 0.000 7.097
Er Al Hg
1 1 2
direct
0.000 0.000 0.000
0.000 0.000 0.500
0.500 0.500 0.272
0.500 0.500 0.728
```



Record 4
Below is BeAu2N after structural relaxation, with properties calculated at the PBE-GGA level.

Values from the calculation:
Energy relative to the lowest polymorph listed for this composition   0 meV per atom
Total DFT energy (no corrections)   -30.0 eV/cell
ρ   10.9 g/cm3
Energy relative to the elements, uncorrected   86.93 kJ/mol of atoms

```
BeAu2N
1.0
-2.252 2.252 6.252
2.252 -2.252 6.252
2.252 2.252 -6.252
Be Au N
2 4 2
direct
0.000 0.000 0.000
0.750 0.250 0.500
0.161 0.625 0.036
0.375 0.411 0.536
0.589 0.125 0.964
0.875 0.839 0.464
0.250 0.750 0.500
0.500 0.500 0.000
```



Record 5
Below is BC2 after structural relaxation, with properties calculated at the PBE-GGA level.

Values from the calculation:
Formation energy   0.9 eV/f.u.
Energy relative to the lowest polymorph listed for this composition   74 meV per atom
Total DFT energy (no corrections)   -96.7 eV/cell
ρ   3.0 g/cm3

```
BC2
1.0
4.277 -1.261 0.000
4.277 1.261 0.000
-3.547 0.000 7.105
B C
4 8
direct
0.000 0.000 0.000
0.003 0.003 0.547
0.217 0.217 0.272
0.496 0.496 0.382
0.179 0.179 0.740
0.326 0.326 0.157
0.337 0.337 0.695
0.512 0.512 0.883
0.676 0.676 0.851
0.682 0.682 0.377
0.832 0.832 0.579
0.841 0.841 0.058
```



Record 6
Below is Cd12Ga5Hg2 after structural relaxation, with properties calculated at the PBE-GGA level.

Values from the calculation:
Formation energy   1.0 eV/f.u.
Energy relative to the lowest polymorph listed for this composition   0 meV per atom
Total DFT energy (no corrections)   -25.7 eV/cell
ρ   8.0 g/cm3

```
Cd12Ga5Hg2
1.0
7.909 -4.992 0.000
7.909 4.992 0.000
-1.759 0.000 5.525
Cd Ga Hg
12 5 2
direct
0.046 0.543 0.804
0.097 0.097 0.151
0.174 0.633 0.434
0.367 0.826 0.566
0.387 0.387 0.069
0.457 0.954 0.196
0.543 0.046 0.804
0.613 0.613 0.931
0.633 0.174 0.434
0.826 0.367 0.566
0.903 0.903 0.849
0.954 0.457 0.196
0.000 0.000 0.500
0.182 0.182 0.776
0.288 0.288 0.457
0.712 0.712 0.543
0.818 0.818 0.224
0.272 0.728 0.000
0.728 0.272 0.000
```



Record 7
Below is Ac3Zn2NiPd6 after structural relaxation, with properties calculated at the PBE-GGA level.

Values from the calculation:
Formation energy   -6.9 eV/f.u.
Total DFT energy (no corrections)   -58.7 eV/cell
ρ   9.4 g/cm3

```
Ac3Zn2NiPd6
1.0
5.800 0.000 0.000
-2.900 5.023 0.000
0.000 0.000 9.119
Ac Zn Ni Pd
3 2 1 6
direct
0.000 0.000 0.000
0.333 0.667 0.610
0.667 0.333 0.390
0.333 0.667 0.057
0.667 0.333 0.943
0.000 0.000 0.500
0.169 0.337 0.282
0.169 0.831 0.282
0.337 0.169 0.718
0.663 0.831 0.282
0.831 0.169 0.718
0.831 0.663 0.718
```



Record 8
Below is LiTmGe2 after structural relaxation, with properties calculated at the PBE-GGA level.

Values from the calculation:
Formation energy   -1.8 eV/f.u.
Energy relative to the lowest polymorph listed for this composition   134 meV per atom
Total DFT energy (no corrections)   -17.4 eV/cell
ρ   7.1 g/cm3

```
LiTmGe2
1.0
2.104 1.214 4.915
-2.104 1.214 4.915
0.000 -2.429 4.915
Li Tm Ge
1 1 2
direct
0.000 0.000 0.000
0.500 0.500 0.500
0.279 0.279 0.279
0.721 0.721 0.721
```



Record 9
Below is Sc2HgBr after structural relaxation, with properties calculated at the PBE-GGA level.

Values from the calculation:
Energy relative to the lowest polymorph listed for this composition   233 meV per atom
Total DFT energy (no corrections)   -16.1 eV/cell
ρ   6.9 g/cm3
Energy relative to the elements, uncorrected   -34.29 kJ/mol of atoms

```
Sc2HgBr
1.0
0.000 3.541 3.541
3.541 0.000 3.541
3.541 3.541 0.000
Sc Hg Br
2 1 1
direct
0.250 0.250 0.250
0.750 0.750 0.750
0.000 0.000 0.000
0.500 0.500 0.500
```



Record 10
Below is Ce2NdPb3 after structural relaxation, with properties calculated at the PBE-GGA level.

Values from the calculation:
Formation energy   -2.6 eV/f.u.
Energy relative to the lowest polymorph listed for this composition   0 meV per atom
Total DFT energy (no corrections)   -60.7 eV/cell
ρ   9.7 g/cm3

```
Ce2NdPb3
1.0
2.544 -7.672 0.000
2.544 7.672 0.000
0.000 0.000 9.156
Ce Nd Pb
4 2 6
direct
0.000 0.000 0.000
0.000 0.000 0.500
0.333 0.667 0.000
0.667 0.333 0.000
0.334 0.666 0.500
0.666 0.334 0.500
0.166 0.834 0.250
0.166 0.834 0.750
0.500 0.500 0.250
0.500 0.500 0.750
0.834 0.166 0.250
0.834 0.166 0.750
```



Record 11
Below is CaSm2Ho after structural relaxation, with properties calculated at the PBE-GGA level.

Values from the calculation:
Formation energy   0.4 eV/f.u.
Energy relative to the lowest polymorph listed for this composition   66 meV per atom
Total DFT energy (no corrections)   -15.6 eV/cell
ρ   6.2 g/cm3

```
CaSm2Ho
1.0
5.193 0.000 0.000
0.000 5.193 0.000
0.000 0.000 5.060
Ca Sm Ho
1 2 1
direct
0.000 0.000 0.000
0.000 0.500 0.500
0.500 0.000 0.500
0.500 0.500 0.000
```



Record 12
Below is Ba2LaIr2 after structural relaxation, with properties calculated at the PBE-GGA level.

Values from the calculation:
Formation energy   -0.8 eV/f.u.
Total DFT energy (no corrections)   -54.6 eV/cell
ρ   8.8 g/cm3

```
Ba2LaIr2
1.0
7.644 0.000 0.000
0.000 7.644 0.000
0.000 0.000 5.134
Ba La Ir
4 2 4
direct
0.171 0.329 0.000
0.329 0.829 0.000
0.671 0.171 0.000
0.829 0.671 0.000
0.000 0.000 0.500
0.500 0.500 0.500
0.118 0.618 0.500
0.382 0.118 0.500
0.618 0.882 0.500
0.882 0.382 0.500
```